Record 1
B6P: optimized geometry, GGA-PBEsol.

Calculated values
Spin magnetization ... 0.00 μB/f.u.
Energy of formation from the pure elements ... -29 kJ per mole of atoms
DOS at the Fermi energy ... 0.00 states/eV/f.u.
Final energy ... -0.2626 Ha/atom

Lattice parameters (Å, degrees): 5.9719 5.9719 11.7956 90.00 90.00 120.00
Space group R-3m (No. 166, hexagonal axes)
Inequivalent atoms, fractional coordinates:
B1 0.0223 0.5112 0.1951 [18 per cell]
B2 0.1043 0.2086 0.3824 [18 per cell]
P1 0.0000 0.0000 0.0949 [6 per cell]

=====

Record 2
BPPb3: optimized geometry, GGA-PBEsol.

Calculated values
Spin magnetization ... 0.00 μB/f.u.
Energy of formation from the pure elements ... 134 kJ per mole of atoms
DOS at the Fermi energy ... 5.08 states/eV/f.u.
Final energy ... -0.1314 Ha/atom

Lattice parameters (Å, degrees): 5.301 5.301 5.301 90.00 90.00 90.00
Space group Pm-3m (No. 221)
Inequivalent atoms, fractional coordinates:
B1 0.000 0.000 0.000 [1 per cell]
P1 0.500 0.500 0.500 [1 per cell]
Pb1 0.000 0.500 0.500 [3 per cell]

=====

Record 3
BPPb2: optimized geometry, GGA-PBEsol.

Calculated values
Spin magnetization ... 0.00 μB/f.u.
Energy of formation from the pure elements ... 55 kJ per mole of atoms
DOS at the Fermi energy ... 0.13 states/eV/f.u.
Final energy ... -0.1703 Ha/atom

Lattice parameters (Å, degrees): 5.765 5.765 11.477 90.00 90.00 90.00
Space group I-42d (No. 122)
Inequivalent atoms, fractional coordinates:
B1 0.000 0.000 0.000 [4 per cell]
P1 0.000 0.000 0.500 [4 per cell]
Pb1 0.201 0.250 0.125 [8 per cell]

=====

Record 4
BP2PbS: optimized geometry, GGA-PBEsol.

Calculated values
Spin magnetization ... 0.00 μB/f.u.
DOS at the Fermi energy ... 3.01 states/eV/f.u.
Final energy ... -0.1775 Ha/atom

Lattice parameters (Å, degrees): 4.242 4.242 4.478 90.00 90.00 90.00
Space group P4/mmm (No. 123)
Inequivalent atoms, fractional coordinates:
B1 0.000 0.000 0.000 [1 per cell]
P1 0.000 0.500 0.000 [2 per cell]
Pb1 0.500 0.500 0.500 [1 per cell]
S1 0.000 0.000 0.500 [1 per cell]

=====

Record 5
B2PPtSe: optimized geometry, GGA-PBEsol.

Calculated values
Spin magnetization ... 0.00 μB/f.u.
DOS at the Fermi energy ... 1.94 states/eV/f.u.
Final energy ... -0.1898 Ha/atom

Lattice parameters (Å, degrees): 3.850 3.850 4.770 90.00 90.00 90.00
Space group P4/mmm (No. 123)
Inequivalent atoms, fractional coordinates:
B1 0.000 0.500 0.000 [2 per cell]
P1 0.000 0.000 0.000 [1 per cell]
Pt1 0.000 0.000 0.500 [1 per cell]
Se1 0.500 0.500 0.500 [1 per cell]

=====

Record 6
RbB2P2: optimized geometry, GGA-PBEsol.

Calculated values
Spin magnetization ... 0.00 μB/f.u.
Energy of formation from the pure elements ... 67 kJ per mole of atoms
DOS at the Fermi energy ... 0.85 states/eV/f.u.
Final energy ... -0.1701 Ha/atom

Lattice parameters (Å, degrees): 7.680 7.680 2.941 90.00 90.00 90.00
Space group P4/mbm (No. 127)
Inequivalent atoms, fractional coordinates:
Rb1 0.000 0.000 0.000 [2 per cell]
B1 0.082 0.418 0.000 [4 per cell]
P1 0.114 0.614 0.500 [4 per cell]